(1)
This record from the Alexandria database describes a geometry-optimized DyGe2Rh3 structure. The functional is PBE-GGA.

Results
Its total energy is -244.125 eV/cell.

abc: 16.363 4.031 9.783
angles: 90.00 107.94 90.00
Space group C2/m (No. 12)
Unique sites:
Dy1 0.000 0.000 0.000
Dy2 0.163 0.000 0.704
Ge1 0.039 0.500 0.781
Ge2 0.138 0.500 0.454
Ge3 0.193 0.000 0.127
Rh1 0.000 0.500 0.500
Rh2 0.039 0.000 0.330
Rh3 0.118 0.500 0.195
Rh4 0.180 0.500 0.959
Rh5 0.216 0.000 0.392

=====

(2)
This record from the Alexandria database describes a geometry-optimized Dy4Ge8Rh structure. The functional is PBE-GGA.

Results
Its total energy is -71.248 eV/cell.

abc: 4.026 4.131 16.233
angles: 90.00 90.00 90.00
Space group Pmm2 (No. 25)
Unique sites:
Dy1 0.000 0.000 0.000
Dy2 0.000 0.500 0.489
Dy3 0.500 0.000 0.790
Dy4 0.500 0.500 0.285
Ge1 0.000 0.000 0.332
Ge2 0.000 0.000 0.622
Ge3 0.000 0.500 0.140
Ge4 0.000 0.500 0.855
Ge5 0.500 0.000 0.145
Ge6 0.500 0.000 0.436
Ge7 0.500 0.500 0.621
Ge8 0.500 0.500 0.955
Rh1 0.000 0.500 0.706

=====

(3)
This record from the Alexandria database describes a geometry-optimized Dy3Ge2Rh3 structure. The functional is PBE-GGA.

Results
Its total energy is -210.607 eV/cell.

abc: 7.522 15.125 5.575
angles: 90.00 90.00 90.00
Space group Pnma (No. 62)
Unique sites:
Dy1 0.024 0.106 0.137
Dy2 0.167 0.250 0.607
Ge1 0.122 0.608 0.367
Rh1 0.173 0.034 0.591
Rh2 0.186 0.750 0.616

=====

(4)
This record from the Alexandria database describes a geometry-optimized DyGe4Rh5 structure. The functional is PBE-GGA.

Results
Its total energy is -130.099 eV/cell.

abc: 7.066 8.688 5.671
angles: 90.00 90.00 90.00
Space group Pmmn (No. 59, origin choice 2)
Unique sites:
Dy1 0.250 0.250 0.023
Ge1 0.060 0.250 0.540
Ge2 0.250 0.590 0.987
Rh1 0.015 0.004 0.262
Rh2 0.250 0.750 0.640